Record 1
A plane-wave DFT calculation with GGA-PBE was carried out for LiTbPaRe after structural relaxation.

Calculated values
- E_form (meV/atom) = 122

a b c (Å): 4.9232 4.9232 4.9232
angles (deg): 60.00 60.00 60.00
With the nearest neighbours (Å) after each atom.
Positions (direct):
Li: 0.5000 0.5000 0.5000  4 Tb 3.01, 4 Pa 3.01
Re: 0.0000 0.0000 0.0000  4 Pa 3.01, 4 Tb 3.01
Pa: 0.7500 0.7500 0.7500  4 Li 3.01, 4 Re 3.01
Tb: 0.2500 0.2500 0.2500  4 Re 3.01, 4 Li 3.01

---

Record 2
A plane-wave DFT calculation with GGA-PBE was carried out for CePrSe2 after structural relaxation.

Calculated values
- E above lowest polymorph (eV per atom) = 0.020
- formation energy (no corrections) (eV per formula unit) = -7.28

a b c (Å): 4.1688 4.1688 14.3593
angles (deg): 90.00 90.00 120.00
With the nearest neighbours (Å) after each atom.
Positions (direct):
Ce: 0.0000 0.0000 0.0000  6 Se 2.97
Ce: 0.0000 0.0000 0.5000  6 Se 2.97
Se: 0.6667 0.3333 0.6217  3 Ce 2.97, 3 Pr 3.03
Se: 0.3333 0.6667 0.1217  3 Ce 2.97, 3 Pr 3.03
Pr: 0.3333 0.6667 0.7500  6 Se 3.03
Se: 0.6667 0.3333 0.8783  3 Ce 2.97, 3 Pr 3.03
Pr: 0.6667 0.3333 0.2500  6 Se 3.03
Se: 0.3333 0.6667 0.3783  3 Ce 2.97, 3 Pr 3.03

---

Record 3
A plane-wave DFT calculation with GGA-PBE was carried out for AgRhAu2 after structural relaxation.

Calculated values
- E above lowest polymorph (eV per atom) = 0.104
- E_form (meV/atom) = 185

a b c (Å): 4.5934 4.5934 4.5897
angles (deg): 59.97 59.97 60.00
With the nearest neighbours (Å) after each atom.
Positions (direct):
Au: 0.2500 0.2500 0.2499  4 Ag 2.81, 4 Au 2.81
Rh: 0.7499 0.7499 0.7502  4 Ag 2.81, 4 Au 2.81
Au: 0.0000 0.0000 0.0000  4 Au 2.81, 4 Rh 2.81
Ag: 0.5000 0.5000 0.4999  4 Rh 2.81, 4 Au 2.81

---

Record 4
A plane-wave DFT calculation with GGA-PBE was carried out for Tl2CrIn after structural relaxation.

Calculated values
- E above lowest polymorph (eV per atom) = 0.078
- E_form (meV/atom) = 394

a b c (Å): 3.5277 3.5274 8.0831
angles (deg): 90.00 90.00 90.00
With the nearest neighbours (Å) after each atom.
Positions (direct):
Tl: 0.0000 0.0000 0.4692  4 Cr 3.06, 4 In 3.37
In: 0.5000 0.5000 0.7500  8 Tl 3.37, 4 In 3.53
Cr: 0.5000 0.5000 0.2500  8 Tl 3.06
Tl: 0.0000 0.0000 0.0308  4 Cr 3.06, 4 In 3.37

---

Record 5
A plane-wave DFT calculation with GGA-PBE was carried out for Sm4Cd3Co after structural relaxation.

Calculated values
- E_form (meV/atom) = -237

a b c (Å): 3.5206 3.5206 16.6008
angles (deg): 90.00 90.00 90.00
With the nearest neighbours (Å) after each atom.
Positions (direct):
Cd: 0.5000 0.5000 0.2364  8 Sm 3.30-3.37, 4 Cd 3.52
Cd: 0.5000 0.5000 0.5000  8 Sm 3.33, 4 Cd 3.52
Co: 0.5000 0.5000 0.0000  8 Sm 2.99
Cd: 0.5000 0.5000 0.7636  8 Sm 3.30-3.37, 4 Cd 3.52
Sm: 0.0000 0.0000 0.3665  8 Cd 3.30-3.33, 4 Sm 3.52
Sm: 0.0000 0.0000 0.0997  4 Co 2.99, 1 Sm 3.31
Sm: 0.0000 0.0000 0.9003  4 Co 2.99, 1 Sm 3.31
Sm: 0.0000 0.0000 0.6335  8 Cd 3.30-3.33, 4 Sm 3.52

---

Record 6
A plane-wave DFT calculation with GGA-PBE was carried out for Nd3Ge4Rh7 after structural relaxation.

Calculated values
- E_form (meV/atom) = -815

a b c (Å): 4.1293 8.0886 8.3582
angles (deg): 70.79 75.70 75.21
With the nearest neighbours (Å) after each atom.
Positions (direct):
Rh: 0.1610 0.6007 0.0774  3 Ge 2.49-2.55
Nd: 0.0000 0.5000 0.5000  6 Ge 2.96-3.17, 6 Rh 3.29-3.31
Ge: 0.6653 0.4493 0.2202  5 Rh 2.48-2.55
Rh: 0.5055 0.7661 0.2228  3 Ge 2.48-2.56
Nd: 0.3297 0.1745 0.1661  9 Rh 3.00-3.20, 4 Ge 3.06-3.10
Ge: 0.1135 0.1100 0.6630  6 Rh 2.53-2.62
Rh: 0.4945 0.2339 0.7772  3 Ge 2.48-2.56
Ge: 0.8865 0.8900 0.3370  6 Rh 2.53-2.62
Rh: 0.0000 0.0000 0.0000  2 Ge 2.62
Nd: 0.6703 0.8255 0.8339  9 Rh 3.00-3.20, 4 Ge 3.06-3.10
Rh: 0.6936 0.1555 0.4573  4 Ge 2.53-2.61, 1 Rh 2.83
Rh: 0.8390 0.3993 0.9226  3 Ge 2.49-2.55
Rh: 0.3064 0.8445 0.5427  4 Ge 2.53-2.61, 1 Rh 2.83
Ge: 0.3347 0.5507 0.7798  5 Rh 2.48-2.55

---

Record 7
A plane-wave DFT calculation with GGA-PBE was carried out for SrCa2Co after structural relaxation.

Calculated values
- E above lowest polymorph (eV per atom) = 0.022
- E_form (meV/atom) = 276

a b c (Å): 6.8954 6.8954 5.8921
angles (deg): 64.71 64.71 31.13
With the nearest neighbours (Å) after each atom.
Positions (direct):
Sr: 0.7500 0.7500 0.7500  4 Co 3.48, 4 Ca 3.64, 2 Sr 3.70
Co: 0.2500 0.2500 0.2500  4 Ca 2.83
Ca: 0.9295 0.9295 0.0705  2 Co 2.83
Ca: 0.5705 0.5705 0.4295  2 Co 2.83

---

Record 8
A plane-wave DFT calculation with GGA-PBE was carried out for Al3Te after structural relaxation.

Calculated values
- E above lowest polymorph (eV per atom) = 0.074
- formation energy (no corrections) (eV per formula unit) = 0.48

a b c (Å): 4.4870 6.0530 6.1851
angles (deg): 90.00 90.00 90.00
With the nearest neighbours (Å) after each atom.
Positions (direct):
Al: 0.0000 0.2616 0.1434  6 Al 2.79-2.89, 1 Te 3.09
Al: 0.0000 0.7384 0.1434  6 Al 2.79-2.89, 1 Te 3.09
Al: 0.0000 0.5000 0.7574  6 Al 2.79-2.81, 2 Te 3.03
Te: 0.5000 0.5000 0.4273  10 Al 3.03-3.24
Al: 0.5000 0.0000 0.2426  6 Al 2.79-2.81, 2 Te 3.03
Al: 0.5000 0.2384 0.8566  6 Al 2.79-2.89, 1 Te 3.09
Te: 0.0000 0.0000 0.5727  10 Al 3.03-3.24
Al: 0.5000 0.7616 0.8566  6 Al 2.79-2.89, 1 Te 3.09

---

Number 1: density of states at the Fermi level 6.35 states/eV/cell. Number 2: density of states at the Fermi level 12.48 states/eV/cell. Number 3: density of states at the Fermi level 4.64 states/eV/cell. Number 4: density of states at the Fermi level 2.05 states/eV/cell. Number 5: density of states at the Fermi level 7.16 states/eV/cell. Number 6: density of states at the Fermi level 6.26 states/eV/cell. Number 7: density of states at the Fermi level 5.73 states/eV/cell. Number 8: density of states at the Fermi level 3.25 states/eV/cell.